Entry 1:
Ac12Ir5Ru2 | PBE-GGA | optimized geometry

Values from the calculation:
Crystal system: monoclinic
Calculated volume (Å³/cell): 652.0
Density of states at the Fermi level (states/eV/atom): 0.54
Total DFT energy (no corrections) (eV per cell): -119.9
SG: C2/m

Unit cell a=8.1864 b=8.9516 c=10.4810 alpha=105.39 beta=90.00 gamma=117.21
Last column: nearest neighbours and their distance in Å.
Sites, in units of the cell vectors:
Ac: 0.6201 0.7346 0.4851  3 Ir 2.90-3.19
Ac: 0.5593 0.6306 0.8555  1 Ru 2.91, 3 Ir 2.93-3.11
Ac: 0.0712 0.6306 0.8555  1 Ru 2.91, 3 Ir 2.93-3.11
Ac: 0.5281 0.0561 0.8287  1 Ir 3.02, 2 Ru 3.10
Ac: 0.4719 0.9439 0.1713  1 Ir 3.02, 2 Ru 3.10
Ac: 0.1145 0.7346 0.4851  3 Ir 2.90-3.19
Ac: 0.4407 0.3694 0.1445  1 Ru 2.91, 3 Ir 2.93-3.11
Ac: 0.8855 0.2654 0.5149  3 Ir 2.90-3.19
Ac: 0.0693 0.1386 0.8240  2 Ru 2.95, 1 Ir 3.24
Ac: 0.3799 0.2654 0.5149  3 Ir 2.90-3.19
Ac: 0.9288 0.3694 0.1445  1 Ru 2.91, 3 Ir 2.93-3.11
Ac: 0.9307 0.8614 0.1760  2 Ru 2.95, 1 Ir 3.24
Ir: 0.2931 0.5861 0.6209  6 Ac 2.95-3.19
Ir: 0.2756 0.5511 0.0410  5 Ac 2.93-3.02
Ir: 0.0000 0.0000 0.5000  6 Ac 2.90-3.24
Ir: 0.7069 0.4139 0.3791  6 Ac 2.95-3.19
Ir: 0.7244 0.4489 0.9590  5 Ac 2.93-3.02
Ru: 0.2076 0.0000 0.0000  6 Ac 2.91-3.10
Ru: 0.7924 0.0000 0.0000  6 Ac 2.91-3.10

Entry 2:
Ca3YW | PBE-GGA | optimized geometry

Values from the calculation:
Crystal system: cubic
Calculated volume (Å³/cell): 163.0
Energy relative to the lowest polymorph listed for this composition (eV/atom): 1.118
Density of states at the Fermi level (states/eV/atom): 2.33
Total DFT energy (no corrections) (eV per cell): -14.8
SG: Pm-3m

Unit cell a=5.4630 b=5.4630 c=5.4630 alpha=90.00 beta=90.00 gamma=90.00
Last column: nearest neighbours and their distance in Å.
Sites, in units of the cell vectors:
Ca: 0.0000 0.5000 0.0000  2 Y 2.73
Ca: 0.5000 0.0000 0.0000  2 Y 2.73
Ca: 0.0000 0.0000 0.5000  2 Y 2.73
W: 0.5000 0.5000 0.5000  12 Ca 3.86
Y: 0.0000 0.0000 0.0000  6 Ca 2.73

Entry 3:
CsNaPrTe2 | PBE-GGA | optimized geometry

Values from the calculation:
Crystal system: orthorhombic
Calculated volume (Å³/cell): 449.4
Density of states at the Fermi level (states/eV/atom): 0.43
Total DFT energy (no corrections) (eV per cell): -36.0
ΔE_f (raw) (kJ per mole of atoms): -91.7
SG: Cmme

Unit cell a=7.6607 b=6.8545 c=9.2191 alpha=111.82 beta=90.00 gamma=90.00
Last column: nearest neighbours and their distance in Å.
Sites, in units of the cell vectors:
Te: 0.7231 0.8803 0.7605  1 Na 2.95, 2 Pr 3.17
Te: 0.7231 0.6197 0.2395  1 Na 2.95, 2 Pr 3.17
Te: 0.2769 0.1197 0.2395  1 Na 2.95, 2 Pr 3.17
Te: 0.2769 0.3803 0.7605  1 Na 2.95, 2 Pr 3.17
Pr: 0.5000 0.2500 0.0000  4 Te 3.17, 2 Pr 3.43
Pr: 0.5000 0.7500 0.0000  4 Te 3.17, 2 Pr 3.43
Cs: 0.7456 0.2500 0.5000  6 Te 4.09-4.23
Cs: 0.2544 0.7500 0.5000  6 Te 4.09-4.23
Na: 0.0000 0.0000 0.0000  2 Te 2.95
Na: 0.0000 0.5000 0.0000  2 Te 2.95